Entry from Alexandria: a relaxed In2FeRh crystal (PBE-GGA).

Geometry as CIF:
```
data_In2FeRh
_chemical_formula_sum 'In2 Fe1 Rh1'
_symmetry_space_group_name_H-M 'P 1'
_symmetry_Int_Tables_number 1
_cell_length_a 8.7876
_cell_length_b 8.7876
_cell_length_c 8.7876
_cell_angle_alpha 20.06
_cell_angle_beta 20.06
_cell_angle_gamma 20.06
loop_
_symmetry_equiv_pos_as_xyz
'x,y,z'
loop_
_atom_site_label
_atom_site_fract_x
_atom_site_fract_y
_atom_site_fract_z
_atom_site_occupancy
Fe1 0.2500 0.2500 0.2500 1
In1 0.0007 0.0007 0.0007 1
In2 0.4993 0.4993 0.4993 1
Rh1 0.7500 0.7500 0.7500 1
```

Output
As for the formation energy: 0.12 eV per atom. Its density of states at the Fermi level is 0.655 states/eV/atom. Its crystal system is trigonal. As for the space group: R-3m (166). Its volume is 17.5 Å³/atom.